(1)
First-principles (PBE) data for an optimized crystal structure of RbHgPbBr6, as listed in Alexandria via LeMat-Bulk.

a = 7.483 Å, b = 7.483 Å, c = 7.530 Å
α = 90.00°, β = 90.00°, γ = 120.00°
Fractional coordinates of all 9 atoms:
1 Rb 0.000 0.000 0.000
2 Hg 0.333 0.667 0.500
3 Pb 0.667 0.333 0.500
4 Br 0.005 0.382 0.725
5 Br 0.005 0.623 0.275
6 Br 0.377 0.382 0.275
7 Br 0.377 0.995 0.725
8 Br 0.618 0.623 0.725
9 Br 0.618 0.995 0.275

Results
Raw total energy in eV per atom: -2.45
Calculated density in kg/m3: 4423
Formation energy without anion corrections in eV per formula unit: -7.0


(2)
First-principles (PBE) data for an optimized crystal structure of Y2MgZn, as listed in Alexandria via LeMat-Bulk.

a = 3.598 Å, b = 3.598 Å, c = 7.814 Å
α = 90.00°, β = 90.00°, γ = 90.00°
Fractional coordinates of all 4 atoms:
1 Y 0.000 0.000 0.224
2 Y 0.000 0.000 0.776
3 Mg 0.500 0.500 0.500
4 Zn 0.500 0.500 0.000

Results
Polymorph energy (0 for the lowest one) in meV/atom: 0
Raw total energy in eV per atom: -4.18
Calculated density in kg/m3: 4392